VASP calculation (PBE) on a relaxed CaSc2Cd crystal.

The structure belongs to space group I-4m2 (No. 119); the cell edges are 4.7356, 4.7356 and 9.2031 Å and the angles 90.00°, 90.00° and 90.00°. The distinct sites, in fractional coordinates, are Ca at (0.0000, 0.0000, 0.0000), Sc at (0.0000, 0.0000, 0.5000), Sc at (0.0000, 0.5000, 0.2500) and Cd at (0.0000, 0.5000, 0.7500).

Its crystal system is tetragonal. As for the formation energy: 16.7 kJ/mol of formula units.



VASP calculation (PBE) on a relaxed CaScCd crystal.

The structure belongs to space group P3m1 (No. 156); the cell edges are 5.1644, 5.1644 and 3.6125 Å and the angles 90.00°, 90.00° and 120.00°. The distinct sites, in fractional coordinates, are Ca at (0.0000, 0.0000, 0.0000), Sc at (0.6667, 0.3333, 0.5424) and Cd at (0.3333, 0.6667, 0.3981).

Its crystal system is trigonal. For the excess energy over the best structure of this formula in the dataset, the calculation gives 0.41 eV/f.u. As for the formation energy: -0.3 kJ/mol of formula units.



VASP calculation (PBE) on a relaxed CaSc2Cd3 crystal.

The structure belongs to space group P4/mmm (No. 123); the cell edges are 3.6024, 3.6024 and 11.0659 Å and the angles 90.00°, 90.00° and 90.00°. The distinct sites, in fractional coordinates, are Ca at (0.0000, 0.0000, 0.0000), Sc at (0.0000, 0.0000, 0.3430), Cd at (0.5000, 0.5000, 0.1909) and Cd at (0.5000, 0.5000, 0.5000).

Its crystal system is tetragonal. As for the formation energy: -177.3 kJ/mol of formula units.



VASP calculation (PBE) on a relaxed CaScCd crystal.

The structure belongs to space group I4/mmm (No. 139); the cell edges are 3.6152, 3.6152 and 26.0935 Å and the angles 90.00°, 90.00° and 90.00°. The distinct sites, in fractional coordinates, are Ca at (0.0000, 0.0000, 0.0696), Sc at (0.0000, 0.0000, 0.2129) and Cd at (0.0000, 0.0000, 0.3500).

Its crystal system is tetragonal. For the excess energy over the best structure of this formula in the dataset, the calculation gives 0.00 eV/f.u. As for the formation energy: -39.4 kJ/mol of formula units.



VASP calculation (PBE) on a relaxed CaScCd3 crystal.

The structure belongs to space group Pm-3m (No. 221); the cell edges are 5.4752, 5.4752 and 5.4752 Å and the angles 90.00°, 90.00° and 90.00°. The distinct sites, in fractional coordinates, are Ca at (0.0000, 0.0000, 0.0000), Sc at (0.5000, 0.5000, 0.5000) and Cd at (0.0000, 0.5000, 0.5000).

Its crystal system is cubic. For the excess energy over the best structure of this formula in the dataset, the calculation gives 0.00 eV/f.u. As for the formation energy: 140.9 kJ/mol of formula units.



VASP calculation (PBE) on a relaxed CaSc2Cd crystal.

The structure belongs to space group P2/m (No. 10); the cell edges are 3.4345, 5.0901 and 6.3405 Å and the angles 90.00°, 104.47° and 90.00°. The distinct sites, in fractional coordinates, are Ca at (0.0000, 0.0000, 0.0000), Sc at (0.3229, 0.5000, 0.7188) and Cd at (0.5000, 0.0000, 0.5000).

Its crystal system is monoclinic. As for the formation energy: 17.0 kJ/mol of formula units.



VASP calculation (PBE) on a relaxed CaSc5Cd6 crystal.

The structure belongs to space group Immm (No. 71); the cell edges are 5.0687, 7.1531 and 15.1849 Å and the angles 90.00°, 90.00° and 90.00°. The distinct sites, in fractional coordinates, are Ca at (0.0000, 0.0000, 0.0000), Sc at (0.0000, 0.0000, 0.3316), Sc at (0.0000, 0.5000, 0.0000), Sc at (0.0000, 0.5000, 0.3369), Cd at (0.0000, 0.2317, 0.5000) and Cd at (0.0000, 0.2585, 0.1713).

Its crystal system is orthorhombic. As for the formation energy: -330.0 kJ/mol of formula units.



VASP calculation (PBE) on a relaxed CaScCd17 crystal.

The structure belongs to space group R3m (No. 160, hexagonal axes); the cell edges are 10.0169, 10.0169 and 15.2109 Å and the angles 90.00°, 90.00° and 120.00°. The distinct sites, in fractional coordinates, are Ca at (0.0000, 0.0000, 0.0000), Sc at (0.0000, 0.0000, 0.6482), Cd at (0.0000, 0.0000, 0.2443), Cd at (0.0000, 0.0000, 0.4349), Cd at (0.0022, 0.3048, 0.3303), Cd at (0.0313, 0.5157, 0.1904), Cd at (0.0403, 0.5201, 0.8226) and Cd at (0.0880, 0.5440, 0.4774).

Its crystal system is trigonal. As for the formation energy: -146.9 kJ/mol of formula units.



VASP calculation (PBE) on a relaxed CaSc2Cd crystal.

The structure belongs to space group Pmm2 (No. 25); the cell edges are 3.4738, 3.4850 and 8.8446 Å and the angles 90.00°, 90.00° and 90.00°. The distinct sites, in fractional coordinates, are Ca at (0.0000, 0.0000, 0.0000), Sc at (0.0000, 0.0000, 0.4600), Sc at (0.5000, 0.5000, 0.6913) and Cd at (0.5000, 0.5000, 0.2534).

Its crystal system is orthorhombic. As for the formation energy: -30.0 kJ/mol of formula units.



VASP calculation (PBE) on a relaxed CaSc2Cd2 crystal.

The structure belongs to space group P4/mbm (No. 127); the cell edges are 8.7011, 8.7011 and 3.2990 Å and the angles 90.00°, 90.00° and 90.00°. The distinct sites, in fractional coordinates, are Ca at (0.0000, 0.0000, 0.0000), Sc at (0.1235, 0.3765, 0.0000) and Cd at (0.1737, 0.6737, 0.5000).

Its crystal system is tetragonal. For the excess energy over the best structure of this formula in the dataset, the calculation gives 0.00 eV/f.u. As for the formation energy: -75.5 kJ/mol of formula units.



VASP calculation (PBE) on a relaxed CaSc2Cd crystal.

The structure belongs to space group R-3m (No. 166, hexagonal axes); the cell edges are 3.4374, 3.4374 and 32.1482 Å and the angles 90.00°, 90.00° and 120.00°. The distinct sites, in fractional coordinates, are Ca at (0.0000, 0.0000, 0.0000), Sc at (0.0000, 0.0000, 0.2399) and Cd at (0.0000, 0.0000, 0.5000).

Its crystal system is trigonal. As for the formation energy: 28.0 kJ/mol of formula units.



VASP calculation (PBE) on a relaxed CaSc2Cd crystal.

The structure belongs to space group P4/mmm (No. 123); the cell edges are 4.6447, 4.6447 and 4.7800 Å and the angles 90.00°, 90.00° and 90.00°. The distinct sites, in fractional coordinates, are Ca at (0.0000, 0.0000, 0.0000), Sc at (0.0000, 0.5000, 0.5000) and Cd at (0.5000, 0.5000, 0.0000).

Its crystal system is tetragonal. As for the formation energy: 1.2 kJ/mol of formula units.